30
Lattice="-2.388 -1.571 -3.262 3.275 -5.382 1.195 -8.825 -3.555 8.174" Properties=species:S:1:pos:R:3 comment="SiH2 | Alexandria via LeMat-Bulk | SCAN | single point on PBEsol structure" dft_energy_ry_per_atom=-0.41105 pbc="T T T"
Si -2.857 -6.316 1.902
Si -0.178 -5.237 -0.580
Si -4.312 -8.314 7.967
Si -5.280 -2.859 -0.330
Si -3.627 -2.194 -1.860
Si -7.761 -5.271 6.687
Si -5.081 -4.192 4.205
Si -6.601 -5.887 4.749
Si -1.338 -4.621 1.357
Si -2.659 -7.649 6.436
H -1.721 -1.032 0.033
H -7.085 -5.852 7.897
H -3.733 -4.502 4.792
H -3.988 -1.945 2.133
H -3.951 -8.563 3.974
H -0.854 -4.656 -1.790
H -7.611 -5.974 3.620
H 1.238 -4.736 -0.543
H -4.764 -3.882 0.647
H -9.177 -5.772 6.650
H -4.929 -4.061 2.716
H -3.175 -6.626 5.460
H -2.319 -2.897 -1.618
H -5.620 -7.611 7.725
H -4.205 -6.006 1.314
H -6.218 -9.476 6.074
H -5.964 -7.250 4.844
H -1.975 -3.258 1.263
H -0.328 -4.534 2.487
H -3.009 -6.447 3.391

***

4
Lattice="4.024 0.000 0.000 2.012 3.485 0.000 2.012 1.162 3.286" Properties=species:S:1:pos:R:3 comment="SiSnH2 | Alexandria via LeMat-Bulk | SCAN | single point on PBEsol structure" dft_energy_ry_per_atom=-0.90072 pbc="T T T"
Sn 4.024 2.323 1.643
H 6.036 3.485 2.464
H 2.012 1.162 0.821
Si 0.000 0.000 0.000

***

4
Lattice="-4.008 1.362 -2.986 0.493 -0.002 -5.157 -2.451 -3.576 -2.835" Properties=species:S:1:pos:R:3 comment="Sr2SiH | Alexandria via LeMat-Bulk | SCAN | single point on PBEsol structure" dft_energy_ry_per_atom=-1.07647 pbc="T T T"
Sr -4.474 -1.662 -8.233
Sr -1.491 -0.554 -2.744
H 0.000 0.000 0.000
Si -2.983 -1.108 -5.489